[1]
Ce4Pr2Te3N2 | PBE | relaxed

- formation energy from raw total energies (meV/atom) = -1203

a b c (Å): 4.6504 4.6504 26.8505
angles (deg): 90.00 90.00 90.00
With the nearest neighbours (Å) after each atom.
Space group I4/mmm (No. 139)
Symmetry-distinct sites (fractional):
Ce (0.0000, 0.5000, 0.0860) x8  2 N 2.38
Pr (0.0000, 0.0000, 0.1982) x4  1 N 2.50
Te (0.0000, 0.0000, 0.3226) x4  5 Pr 3.34, 4 Ce 3.38
Te (0.0000, 0.0000, 0.5000) x2  8 Ce 3.28
N (0.0000, 0.0000, 0.1051) x4  4 Ce 2.38, 1 Pr 2.50

=====

[2]
Sm2ScBi2 | PBE | relaxed

- ΔH_f (0 K) (eV/atom) = -0.59

a b c (Å): 8.2465 12.3697 6.3603
angles (deg): 90.00 90.00 90.00
With the nearest neighbours (Å) after each atom.
Space group Ibam (No. 72)
Symmetry-distinct sites (fractional):
Sm (0.1531, 0.1373, 0.0000) x8  5 Bi 3.18-3.26
Sc (0.0000, 0.5000, 0.2500) x4  4 Bi 3.05, 2 Sc 3.18
Bi (0.2370, 0.1166, 0.5000) x8  2 Sc 3.05, 5 Sm 3.18-3.26

=====

[3]
ThPaCrC3 | PBE | relaxed

- ΔH_f (0 K) (eV/atom) = -0.16

a b c (Å): 7.4914 3.5783 7.5014
angles (deg): 90.00 96.94 90.00
With the nearest neighbours (Å) after each atom.
Space group P2_1/m (No. 11)
Symmetry-distinct sites (fractional):
Th (0.1629, 0.2500, 0.1812) x2  5 C 2.52-2.78
Pa (0.3621, 0.7500, 0.8214) x2  6 C 2.32-2.60
Cr (0.0919, 0.2500, 0.5897) x2  4 C 1.88-1.94
C (0.1223, 0.2500, 0.8424) x2  1 Cr 1.88
C (0.1554, 0.7500, 0.5176) x2  3 Cr 1.93-1.94
C (0.4085, 0.7500, 0.1330) x2  3 Pa 2.32-2.48

=====

[4]
SrZrZnBi2 | PBE | relaxed

- ΔH_f (0 K) (eV/atom) = -0.16

a b c (Å): 5.6925 5.6925 5.3139
angles (deg): 90.00 90.00 90.00
With the nearest neighbours (Å) after each atom.
Space group P4/mmm (No. 123)
Symmetry-distinct sites (fractional):
Sr (0.0000, 0.0000, 0.0000) x1  8 Bi 3.89, 4 Zn 4.03
Zr (0.5000, 0.5000, 0.5000) x1  2 Zn 2.66, 4 Bi 2.85
Zn (0.5000, 0.5000, 0.0000) x1  2 Zr 2.66
Bi (0.0000, 0.5000, 0.5000) x2  2 Zr 2.85

=====

[5]
Na2TmF6 | PBE | relaxed

- formation energy from raw total energies (meV/atom) = -3062

a b c (Å): 3.8331 5.2325 12.0802
angles (deg): 90.00 90.00 90.00
With the nearest neighbours (Å) after each atom.
Space group Immm (No. 71)
Symmetry-distinct sites (fractional):
Na (0.0000, 0.0000, 0.1709) x4  8 F 2.37-2.49
Tm (0.0000, 0.0000, 0.5000) x2  8 F 2.23-2.27
F (0.0000, 0.2351, 0.3458) x8  1 Tm 2.23, 3 Na 2.37-2.44, 1 F 2.46
F (0.0000, 0.2658, 0.0000) x4  2 Tm 2.27, 1 F 2.45, 2 Na 2.49

=====

[6]
CeGdAlHg | PBE | relaxed

- ΔH_f (0 K) (eV/atom) = -0.33

a b c (Å): 7.4965 7.4965 7.4965
angles (deg): 90.00 90.00 90.00
With the nearest neighbours (Å) after each atom.
Space group F-43m (No. 216)
Symmetry-distinct sites (fractional):
Ce (0.0000, 0.0000, 0.0000) x4  4 Hg 3.25, 4 Al 3.25
Gd (0.0000, 0.0000, 0.5000) x4  4 Hg 3.25, 4 Al 3.25
Al (0.2500, 0.2500, 0.7500) x4  4 Gd 3.25, 4 Ce 3.25
Hg (0.2500, 0.2500, 0.2500) x4  4 Gd 3.25, 4 Ce 3.25

=====

[7]
PuZr2FeN4 | PBE | relaxed

- formation energy from raw total energies (meV/atom) = -1221

a b c (Å): 3.2345 10.9500 11.0952
angles (deg): 90.00 90.00 90.00
With the nearest neighbours (Å) after each atom.
Space group Cmcm (No. 63)
Symmetry-distinct sites (fractional):
Pu (0.0000, 0.1065, 0.2500) x4  6 N 2.39-2.55
Zr (0.0000, 0.3681, 0.0524) x8  6 N 2.19-2.35
Fe (0.0000, 0.1555, 0.7500) x4  4 N 1.92-1.96
N (0.0000, 0.0000, 0.0000) x4  4 Zr 2.24
N (0.0000, 0.2709, 0.6196) x8  1 Fe 1.92
N (0.0000, 0.4463, 0.2500) x4  2 Fe 1.96

=====

[8]
Ba4Cd2Se | PBE | relaxed

- formation energy from raw total energies (meV/atom) = -587

a b c (Å): 6.3726 6.3726 16.7873
angles (deg): 90.00 90.00 90.00
With the nearest neighbours (Å) after each atom.
Space group I4/mmm (No. 139)
Symmetry-distinct sites (fractional):
Ba (0.0000, 0.0000, 0.1929) x4  1 Se 3.24, 1 Cd 3.47
Ba (0.0000, 0.5000, 0.0000) x4  2 Se 3.19
Cd (0.0000, 0.0000, 0.3999) x4  1 Cd 3.36, 5 Ba 3.47-3.60
Se (0.0000, 0.0000, 0.0000) x2  6 Ba 3.19-3.24

=====

[9]
CaCu2 | PBE | relaxed

- ΔH_f (0 K) (eV/atom) = 0.41

a b c (Å): 4.5672 4.5672 4.6525
angles (deg): 90.00 90.00 120.00
With the nearest neighbours (Å) after each atom.
Space group P-6m2 (No. 187)
Symmetry-distinct sites (fractional):
Ca (0.0000, 0.0000, 0.0000) x1  6 Cu 2.89
Cu (0.6667, 0.3333, 0.2534) x2  2 Cu 2.29-2.36

=====

[10]
SrPm12Ge7 | PBE | relaxed

- ΔH_f (0 K) (eV/atom) = -0.51

a b c (Å): 15.3187 15.3187 8.5821
angles (deg): 90.00 90.00 120.00
With the nearest neighbours (Å) after each atom.
Space group R-3m (No. 166, hexagonal axes)
Symmetry-distinct sites (fractional):
Sr (0.0000, 0.0000, 0.0000) x3  6 Ge 3.67
Pm (0.0000, 0.2690, 0.0000) x18  4 Ge 3.02-3.16, 2 Pm 3.33
Pm (0.1022, 0.2044, 0.3698) x18  3 Ge 2.93-3.04
Ge (0.0000, 0.0000, 0.5000) x3  6 Pm 2.93
Ge (0.1082, 0.5541, 0.4181) x18  7 Pm 3.02-3.29, 1 Ge 3.20

=====

[11]
RbErCuSe2 | PBE | relaxed

- formation energy from raw total energies (meV/atom) = -1005

a b c (Å): 8.0806 4.5566 8.1627
angles (deg): 90.00 97.35 90.00
With the nearest neighbours (Å) after each atom.
Space group P2/c (No. 13)
Symmetry-distinct sites (fractional):
Rb (0.0000, 0.1399, 0.2500) x2  6 Se 3.48-3.55
Er (0.5000, 0.4948, 0.7500) x2  4 Se 2.81-2.82, 4 Cu 3.04-3.08
Cu (0.5000, 0.0000, 0.0000) x2  2 Se 2.41
Se (0.2742, 0.3477, 0.9726) x4  1 Cu 2.41

=====

[12]
AcPuB2O8 | PBE | relaxed

- formation energy from raw total energies (meV/atom) = -2525

a b c (Å): 7.8706 5.1309 7.6913
angles (deg): 90.00 93.92 90.00
With the nearest neighbours (Å) after each atom.
Space group C2/m (No. 12)
Symmetry-distinct sites (fractional):
Ac (0.0000, 0.0000, 0.0000) x2  6 O 2.58-2.63
Pu (0.0000, 0.0000, 0.5000) x2  6 O 1.91-2.10
B (0.1274, 0.5000, 0.2640) x4  3 O 1.39-1.48
O (0.0260, 0.2628, 0.2941) x8  1 B 1.48
O (0.1938, 0.5000, 0.1007) x4  1 B 1.39
O (0.2371, 0.0000, 0.5733) x4  1 B 1.59

=====

no.,M_tot (μB per cell)
1,6.35
2,6.04
3,0.00
4,0.00
5,2.08
6,34.28
7,10.28
8,3.99
9,0.00
10,0.00
11,0.00
12,1.93